No. 1
This record from Alexandria via LeMat-Bulk describes Ti4N after structural relaxation. The functional is GGA-PBE.

Computed properties:
Excess energy over the best structure of this formula in the dataset: 9 meV/atom
Raw total energy: -8.720 eV per atom
Spin magnetization: 0.00 μB/f.u.
SG: No. 221
Formation energy without anion corrections: -0.739 eV per atom

a = 4.169 Å, b = 4.169 Å, c = 4.169 Å
α = 90.00°, β = 90.00°, γ = 90.00°
Element x y z (fractional)
Ti1 0.000 0.000 0.000
Ti2 0.500 0.000 0.500
Ti3 0.000 0.500 0.500
Ti4 0.500 0.500 0.000
N1 0.500 0.500 0.500

***

No. 2
This record from Alexandria via LeMat-Bulk describes In2I2O7 after structural relaxation. The functional is GGA-PBE.

Computed properties:
Raw total energy: -4.556 eV per atom
Spin magnetization: 0.00 μB/f.u.
SG: No. 12
Formation energy without anion corrections: -0.621 eV per atom

a = 5.918 Å, b = 6.074 Å, c = 6.074 Å
α = 116.15°, β = 97.03°, γ = 97.03°
Element x y z (fractional)
In1 0.500 0.318 0.682
In2 0.500 0.682 0.318
I1 0.222 0.796 0.796
I2 0.778 0.204 0.204
O1 0.295 0.565 0.955
O2 0.705 0.045 0.435
O3 0.705 0.435 0.045
O4 0.295 0.955 0.565
O5 0.287 0.500 0.500
O6 0.000 0.000 0.000
O7 0.713 0.500 0.500